(1)
The following is a DFT calculation (GGA-PBEsol) of an optimized crystal structure of TcBiSbTe2.

Lattice parameters (Å, degrees): 5.1320 5.1574 5.1574 90.00 90.00 90.00
With the nearest neighbours (Å) after each atom.
Fractional coordinates of all 5 atoms:
Tc 0.0000 0.0000 0.0000  2 Sb 2.57, 4 Te 2.58
Sb 0.5000 0.0000 0.0000  2 Tc 2.57
Bi 0.5000 0.5000 0.5000  8 Te 3.64, 4 Sb 3.65
Te 0.0000 0.5000 0.0000  2 Tc 2.58
Te 0.0000 0.0000 0.5000  2 Tc 2.58

Output
- SG: P4/mmm (123)
- Calculated volume: 27.30 Å³ per atom
- DFT total energy: -5.00 eV per atom
- Uncorrected formation energy: 2.14 eV per formula unit
- Theoretical density: 8.32 Mg/m³

(2)
The following is a DFT calculation (GGA-PBEsol) of an optimized crystal structure of BiSbTe2.

Lattice parameters (Å, degrees): 4.2932 4.2932 24.7452 90.00 90.00 120.00
With the nearest neighbours (Å) after each atom.
Fractional coordinates of all 12 atoms:
Te 0.0000 0.0000 0.9470  3 Bi 3.05
Bi 0.6667 0.3333 0.1256  6 Te 3.05-3.23
Bi 0.3333 0.6667 0.5324  3 Sb 2.99
Te 0.0000 0.0000 0.2096  3 Sb 3.18, 3 Bi 3.23
Te 0.3333 0.6667 0.0538  3 Bi 3.05
Sb 0.6667 0.3333 0.7105  6 Te 3.01-3.16
Bi 0.6667 0.3333 0.8755  6 Te 3.05-3.26
Te 0.3333 0.6667 0.7898  3 Sb 3.16, 3 Bi 3.26
Te 0.0000 0.0000 0.6415  3 Sb 3.01
Te 0.3333 0.6667 0.3590  3 Sb 3.00
Sb 0.6667 0.3333 0.2904  6 Te 3.00-3.18
Sb 0.0000 0.0000 0.4650  3 Bi 2.99

Output
- SG: P3m1 (156)
- Calculated volume: 32.92 Å³ per atom
- DFT total energy: -4.09 eV per atom
- Distance to the lowest polymorph of the same formula: 0 kJ/mol of formula units
- Uncorrected formation energy: -0.47 eV per formula unit
- Theoretical density: 7.39 Mg/m³

(3)
The following is a DFT calculation (GGA-PBEsol) of an optimized crystal structure of BiSbTe2.

Lattice parameters (Å, degrees): 6.4350 6.9472 6.9472 77.61 62.41 62.41
With the nearest neighbours (Å) after each atom.
Fractional coordinates of all 8 atoms:
Bi 0.7500 0.5000 0.5000  4 Te 3.21, 2 Sb 3.22
Sb 0.2500 0.5000 0.5000  4 Te 3.15, 2 Bi 3.22
Te 0.6203 0.0047 0.5047  2 Sb 3.15, 2 Bi 3.21, 2 Te 3.22
Te 0.3750 0.4953 0.0047  2 Sb 3.15, 2 Bi 3.21, 2 Te 3.22
Te 0.1297 0.9953 0.4953  2 Sb 3.15, 2 Bi 3.21, 2 Te 3.22
Bi 0.0000 0.0000 0.0000  4 Te 3.21, 2 Sb 3.22
Sb 0.5000 0.0000 0.0000  4 Te 3.15, 2 Bi 3.22
Te 0.8750 0.5047 0.9953  2 Sb 3.15, 2 Bi 3.21, 2 Te 3.22

Output
- SG: I-42d (122)
- Calculated volume: 30.50 Å³ per atom
- DFT total energy: -3.93 eV per atom
- Distance to the lowest polymorph of the same formula: 61 kJ/mol of formula units
- Uncorrected formation energy: 0.16 eV per formula unit
- Theoretical density: 7.98 Mg/m³

Here are the calculated total magnetization numbers, same order: 0.000 0.000 0.000 (μB per cell).